--- P ---
SrY2Bi2 | PBE | optimized geometry

The structure in CIF format:
```
data_SrY2Bi2
_symmetry_space_group_name_H-M 'I 4/m m m'
_symmetry_Int_Tables_number 139
_symmetry_space_group_name_Hall '-I 4 2'
_cell_length_a 4.914
_cell_length_b 4.914
_cell_length_c 14.823
_cell_angle_alpha 90.00
_cell_angle_beta 90.00
_cell_angle_gamma 90.00
loop_
_atom_site_label
_atom_site_type_symbol
_atom_site_fract_x
_atom_site_fract_y
_atom_site_fract_z
Sr1 Sr 0.000 0.000 0.000
Y1 Y 0.000 0.500 0.250
Bi1 Bi 0.000 0.000 0.385
```

--- Q ---
SrY2Bi2 | PBE | optimized geometry

The structure in CIF format:
```
data_SrY2Bi2
_symmetry_space_group_name_H-M 'P 4/m b m'
_symmetry_Int_Tables_number 127
_symmetry_space_group_name_Hall '-P 4 2ab'
_cell_length_a 8.753
_cell_length_b 8.753
_cell_length_c 4.241
_cell_angle_alpha 90.00
_cell_angle_beta 90.00
_cell_angle_gamma 90.00
loop_
_atom_site_label
_atom_site_type_symbol
_atom_site_fract_x
_atom_site_fract_y
_atom_site_fract_z
Sr1 Sr 0.000 0.000 0.000
Y1 Y 0.151 0.349 0.500
Bi1 Bi 0.147 0.647 0.000
```

Energy comparison, zero being the most stable, in meV per atom: P 97; Q 0.

--- P ---
Sr2ZnBi | PBE | optimized geometry

The structure in CIF format:
```
data_Sr2ZnBi
_symmetry_space_group_name_H-M 'P 4/m m m'
_symmetry_Int_Tables_number 123
_symmetry_space_group_name_Hall '-P 4 2'
_cell_length_a 5.451
_cell_length_b 5.451
_cell_length_c 4.460
_cell_angle_alpha 90.00
_cell_angle_beta 90.00
_cell_angle_gamma 90.00
loop_
_atom_site_label
_atom_site_type_symbol
_atom_site_fract_x
_atom_site_fract_y
_atom_site_fract_z
Sr1 Sr 0.000 0.500 0.000
Zn1 Zn 0.000 0.000 0.500
Bi1 Bi 0.500 0.500 0.500
```

--- Q ---
Sr2ZnBi | PBE | optimized geometry

The structure in CIF format:
```
data_Sr2ZnBi
_symmetry_space_group_name_H-M 'I -4 2 d'
_symmetry_Int_Tables_number 122
_symmetry_space_group_name_Hall 'I -4 2bw'
_cell_length_a 6.002
_cell_length_b 6.002
_cell_length_c 19.869
_cell_angle_alpha 90.00
_cell_angle_beta 90.00
_cell_angle_gamma 90.00
loop_
_atom_site_label
_atom_site_type_symbol
_atom_site_fract_x
_atom_site_fract_y
_atom_site_fract_z
Sr1 Sr 0.244 0.250 0.125
Zn1 Zn 0.000 0.000 0.000
Bi1 Bi 0.000 0.000 0.500
```

Energy comparison, zero being the most stable, in meV per atom: P 0; Q 444.

--- P ---
SrZn3Bi | PBE | optimized geometry

The structure in CIF format:
```
data_SrZn3Bi
_symmetry_space_group_name_H-M 'P m -3 m'
_symmetry_Int_Tables_number 221
_symmetry_space_group_name_Hall '-P 4 2 3'
_cell_length_a 5.478
_cell_length_b 5.478
_cell_length_c 5.478
_cell_angle_alpha 90.00
_cell_angle_beta 90.00
_cell_angle_gamma 90.00
loop_
_atom_site_label
_atom_site_type_symbol
_atom_site_fract_x
_atom_site_fract_y
_atom_site_fract_z
Sr1 Sr 0.000 0.000 0.000
Zn1 Zn 0.000 0.500 0.500
Bi1 Bi 0.500 0.500 0.500
```

--- Q ---
SrZn3Bi | PBE | optimized geometry

The structure in CIF format:
```
data_SrZn3Bi
_symmetry_space_group_name_H-M 'P m -3 m'
_symmetry_Int_Tables_number 221
_symmetry_space_group_name_Hall '-P 4 2 3'
_cell_length_a 5.675
_cell_length_b 5.675
_cell_length_c 5.675
_cell_angle_alpha 90.00
_cell_angle_beta 90.00
_cell_angle_gamma 90.00
loop_
_atom_site_label
_atom_site_type_symbol
_atom_site_fract_x
_atom_site_fract_y
_atom_site_fract_z
Sr1 Sr 0.000 0.000 0.000
Zn1 Zn 0.000 0.000 0.500
Bi1 Bi 0.500 0.500 0.500
```

Energy comparison, zero being the most stable, in meV per atom: P 0; Q 538.

--- P ---
Sr3ZrBi | PBE | optimized geometry

The structure in CIF format:
```
data_Sr3ZrBi
_symmetry_space_group_name_H-M 'P m -3 m'
_symmetry_Int_Tables_number 221
_symmetry_space_group_name_Hall '-P 4 2 3'
_cell_length_a 6.316
_cell_length_b 6.316
_cell_length_c 6.316
_cell_angle_alpha 90.00
_cell_angle_beta 90.00
_cell_angle_gamma 90.00
loop_
_atom_site_label
_atom_site_type_symbol
_atom_site_fract_x
_atom_site_fract_y
_atom_site_fract_z
Sr1 Sr 0.000 0.000 0.500
Zr1 Zr 0.500 0.500 0.500
Bi1 Bi 0.000 0.000 0.000
```

--- Q ---
Sr3ZrBi | PBE | optimized geometry

The structure in CIF format:
```
data_Sr3ZrBi
_symmetry_space_group_name_H-M 'P m -3 m'
_symmetry_Int_Tables_number 221
_symmetry_space_group_name_Hall '-P 4 2 3'
_cell_length_a 6.040
_cell_length_b 6.040
_cell_length_c 6.040
_cell_angle_alpha 90.00
_cell_angle_beta 90.00
_cell_angle_gamma 90.00
loop_
_atom_site_label
_atom_site_type_symbol
_atom_site_fract_x
_atom_site_fract_y
_atom_site_fract_z
Sr1 Sr 0.000 0.000 0.500
Zr1 Zr 0.000 0.000 0.000
Bi1 Bi 0.500 0.500 0.500
```

Energy comparison, zero being the most stable, in meV per atom: P 0; Q 277.

--- P ---
SrZrBi2 | PBE | optimized geometry

The structure in CIF format:
```
data_SrZrBi2
_symmetry_space_group_name_H-M 'P 4/m m m'
_symmetry_Int_Tables_number 123
_symmetry_space_group_name_Hall '-P 4 2'
_cell_length_a 3.746
_cell_length_b 3.746
_cell_length_c 8.409
_cell_angle_alpha 90.00
_cell_angle_beta 90.00
_cell_angle_gamma 90.00
loop_
_atom_site_label
_atom_site_type_symbol
_atom_site_fract_x
_atom_site_fract_y
_atom_site_fract_z
Sr1 Sr 0.000 0.000 0.000
Zr1 Zr 0.000 0.000 0.500
Bi1 Bi 0.500 0.500 0.285
```

--- Q ---
SrZrBi2 | PBE | optimized geometry

The structure in CIF format:
```
data_SrZrBi2
_symmetry_space_group_name_H-M 'R -3 m'
_symmetry_Int_Tables_number 166
_symmetry_space_group_name_Hall '-R 3 2"'
_cell_length_a 4.3892
_cell_length_b 4.3892
_cell_length_c 23.3779
_cell_angle_alpha 90.00
_cell_angle_beta 90.00
_cell_angle_gamma 120.00
loop_
_atom_site_label
_atom_site_type_symbol
_atom_site_fract_x
_atom_site_fract_y
_atom_site_fract_z
Sr1 Sr 0.0000 0.0000 0.0000
Zr1 Zr 0.0000 0.0000 0.5000
Bi1 Bi 0.0000 0.0000 0.2388
```

--- R ---
SrZrBi2 | PBE | optimized geometry

The structure in CIF format:
```
data_SrZrBi2
_symmetry_space_group_name_H-M 'F m -3 m'
_symmetry_Int_Tables_number 225
_symmetry_space_group_name_Hall '-F 4 2 3'
_cell_length_a 7.784
_cell_length_b 7.784
_cell_length_c 7.784
_cell_angle_alpha 90.00
_cell_angle_beta 90.00
_cell_angle_gamma 90.00
loop_
_atom_site_label
_atom_site_type_symbol
_atom_site_fract_x
_atom_site_fract_y
_atom_site_fract_z
Sr1 Sr 0.000 0.000 0.000
Zr1 Zr 0.000 0.000 0.500
Bi1 Bi 0.250 0.250 0.250
```

--- S ---
SrZrBi2 | PBE | optimized geometry

The structure in CIF format:
```
data_SrZrBi2
_symmetry_space_group_name_H-M 'R 3 m'
_symmetry_Int_Tables_number 160
_symmetry_space_group_name_Hall 'R 3 -2"'
_cell_length_a 4.3746
_cell_length_b 4.3746
_cell_length_c 23.8321
_cell_angle_alpha 90.00
_cell_angle_beta 90.00
_cell_angle_gamma 120.00
loop_
_atom_site_label
_atom_site_type_symbol
_atom_site_fract_x
_atom_site_fract_y
_atom_site_fract_z
Sr1 Sr 0.0000 0.0000 0.0000
Zr1 Zr 0.0000 0.0000 0.8296
Bi1 Bi 0.0000 0.0000 0.2360
Bi2 Bi 0.0000 0.0000 0.4268
```

Energy comparison, zero being the most stable, in meV per atom: P 116; Q 0; R 280; S 38.

--- P ---
Sr2ZrBi | PBE | optimized geometry

The structure in CIF format:
```
data_Sr2ZrBi
_symmetry_space_group_name_H-M 'I -4 2 d'
_symmetry_Int_Tables_number 122
_symmetry_space_group_name_Hall 'I -4 2bw'
_cell_length_a 9.433
_cell_length_b 9.433
_cell_length_c 6.527
_cell_angle_alpha 90.00
_cell_angle_beta 90.00
_cell_angle_gamma 90.00
loop_
_atom_site_label
_atom_site_type_symbol
_atom_site_fract_x
_atom_site_fract_y
_atom_site_fract_z
Sr1 Sr 0.224 0.250 0.125
Zr1 Zr 0.000 0.000 0.500
Bi1 Bi 0.000 0.000 0.000
```

--- Q ---
Sr2ZrBi | PBE | optimized geometry

The structure in CIF format:
```
data_Sr2ZrBi
_symmetry_space_group_name_H-M 'F m -3 m'
_symmetry_Int_Tables_number 225
_symmetry_space_group_name_Hall '-F 4 2 3'
_cell_length_a 8.210
_cell_length_b 8.210
_cell_length_c 8.210
_cell_angle_alpha 90.00
_cell_angle_beta 90.00
_cell_angle_gamma 90.00
loop_
_atom_site_label
_atom_site_type_symbol
_atom_site_fract_x
_atom_site_fract_y
_atom_site_fract_z
Sr1 Sr 0.250 0.250 0.250
Zr1 Zr 0.000 0.000 0.000
Bi1 Bi 0.000 0.000 0.500
```

Energy comparison, zero being the most stable, in meV per atom: P 148; Q 0.

--- P ---
TaTcBi2 | PBE | optimized geometry

The structure in CIF format:
```
data_TaTcBi2
_symmetry_space_group_name_H-M 'I -4 2 d'
_symmetry_Int_Tables_number 122
_symmetry_space_group_name_Hall 'I -4 2bw'
_cell_length_a 4.339
_cell_length_b 4.339
_cell_length_c 19.861
_cell_angle_alpha 90.00
_cell_angle_beta 90.00
_cell_angle_gamma 90.00
loop_
_atom_site_label
_atom_site_type_symbol
_atom_site_fract_x
_atom_site_fract_y
_atom_site_fract_z
Ta1 Ta 0.000 0.000 0.000
Tc1 Tc 0.000 0.000 0.500
Bi1 Bi 0.244 0.250 0.625
```

--- Q ---
TaTcBi2 | PBE | optimized geometry

The structure in CIF format:
```
data_TaTcBi2
_symmetry_space_group_name_H-M 'F m -3 m'
_symmetry_Int_Tables_number 225
_symmetry_space_group_name_Hall '-F 4 2 3'
_cell_length_a 6.950
_cell_length_b 6.950
_cell_length_c 6.950
_cell_angle_alpha 90.00
_cell_angle_beta 90.00
_cell_angle_gamma 90.00
loop_
_atom_site_label
_atom_site_type_symbol
_atom_site_fract_x
_atom_site_fract_y
_atom_site_fract_z
Ta1 Ta 0.000 0.000 0.000
Tc1 Tc 0.000 0.000 0.500
Bi1 Bi 0.250 0.250 0.250
```

Energy comparison, zero being the most stable, in meV per atom: P 272; Q 0.

--- P ---
Ta2BiTe | PBE | optimized geometry

The structure in CIF format:
```
data_Ta2BiTe
_symmetry_space_group_name_H-M 'I -4 2 d'
_symmetry_Int_Tables_number 122
_symmetry_space_group_name_Hall 'I -4 2bw'
_cell_length_a 4.369
_cell_length_b 4.369
_cell_length_c 19.928
_cell_angle_alpha 90.00
_cell_angle_beta 90.00
_cell_angle_gamma 90.00
loop_
_atom_site_label
_atom_site_type_symbol
_atom_site_fract_x
_atom_site_fract_y
_atom_site_fract_z
Ta1 Ta 0.228 0.250 0.125
Bi1 Bi 0.000 0.000 0.500
Te1 Te 0.000 0.000 0.000
```

--- Q ---
Ta2BiTe | PBE | optimized geometry

The structure in CIF format:
```
data_Ta2BiTe
_symmetry_space_group_name_H-M 'F m -3 m'
_symmetry_Int_Tables_number 225
_symmetry_space_group_name_Hall '-F 4 2 3'
_cell_length_a 6.939
_cell_length_b 6.939
_cell_length_c 6.939
_cell_angle_alpha 90.00
_cell_angle_beta 90.00
_cell_angle_gamma 90.00
loop_
_atom_site_label
_atom_site_type_symbol
_atom_site_fract_x
_atom_site_fract_y
_atom_site_fract_z
Ta1 Ta 0.250 0.250 0.250
Bi1 Bi 0.000 0.000 0.000
Te1 Te 0.000 0.000 0.500
```

Energy comparison, zero being the most stable, in meV per atom: P 366; Q 0.

--- P ---
TaTlBi2 | PBE | optimized geometry

The structure in CIF format:
```
data_TaTlBi2
_symmetry_space_group_name_H-M 'F m -3 m'
_symmetry_Int_Tables_number 225
_symmetry_space_group_name_Hall '-F 4 2 3'
_cell_length_a 7.516
_cell_length_b 7.516
_cell_length_c 7.516
_cell_angle_alpha 90.00
_cell_angle_beta 90.00
_cell_angle_gamma 90.00
loop_
_atom_site_label
_atom_site_type_symbol
_atom_site_fract_x
_atom_site_fract_y
_atom_site_fract_z
Ta1 Ta 0.000 0.000 0.000
Tl1 Tl 0.000 0.000 0.500
Bi1 Bi 0.250 0.250 0.250
```

--- Q ---
TaTlBi2 | PBE | optimized geometry

The structure in CIF format:
```
data_TaTlBi2
_symmetry_space_group_name_H-M 'I -4 2 d'
_symmetry_Int_Tables_number 122
_symmetry_space_group_name_Hall 'I -4 2bw'
_cell_length_a 7.105
_cell_length_b 7.105
_cell_length_c 13.210
_cell_angle_alpha 90.00
_cell_angle_beta 90.00
_cell_angle_gamma 90.00
loop_
_atom_site_label
_atom_site_type_symbol
_atom_site_fract_x
_atom_site_fract_y
_atom_site_fract_z
Ta1 Ta 0.000 0.000 0.000
Tl1 Tl 0.000 0.000 0.500
Bi1 Bi 0.179 0.250 0.125
```

Energy comparison, zero being the most stable, in meV per atom: P 0; Q 16.

--- P ---
Ta2VBi2 | PBE | optimized geometry

The structure in CIF format:
```
data_Ta2VBi2
_symmetry_space_group_name_H-M 'I 4/m m m'
_symmetry_Int_Tables_number 139
_symmetry_space_group_name_Hall '-I 4 2'
_cell_length_a 4.229
_cell_length_b 4.229
_cell_length_c 13.910
_cell_angle_alpha 90.00
_cell_angle_beta 90.00
_cell_angle_gamma 90.00
loop_
_atom_site_label
_atom_site_type_symbol
_atom_site_fract_x
_atom_site_fract_y
_atom_site_fract_z
Ta1 Ta 0.000 0.000 0.089
V1 V 0.000 0.000 0.500
Bi1 Bi 0.000 0.500 0.250
```

--- Q ---
Ta2VBi2 | PBE | optimized geometry

The structure in CIF format:
```
data_Ta2VBi2
_symmetry_space_group_name_H-M 'P 4/m b m'
_symmetry_Int_Tables_number 127
_symmetry_space_group_name_Hall '-P 4 2ab'
_cell_length_a 6.852
_cell_length_b 6.852
_cell_length_c 4.711
_cell_angle_alpha 90.00
_cell_angle_beta 90.00
_cell_angle_gamma 90.00
loop_
_atom_site_label
_atom_site_type_symbol
_atom_site_fract_x
_atom_site_fract_y
_atom_site_fract_z
Ta1 Ta 0.144 0.356 0.000
V1 V 0.000 0.000 0.000
Bi1 Bi 0.176 0.676 0.500
```

Energy comparison, zero being the most stable, in meV per atom: P 414; Q 0.

--- P ---
TaV2Bi2 | PBE | optimized geometry

The structure in CIF format:
```
data_TaV2Bi2
_symmetry_space_group_name_H-M 'P 4/m b m'
_symmetry_Int_Tables_number 127
_symmetry_space_group_name_Hall '-P 4 2ab'
_cell_length_a 7.783
_cell_length_b 7.783
_cell_length_c 3.263
_cell_angle_alpha 90.00
_cell_angle_beta 90.00
_cell_angle_gamma 90.00
loop_
_atom_site_label
_atom_site_type_symbol
_atom_site_fract_x
_atom_site_fract_y
_atom_site_fract_z
Ta1 Ta 0.000 0.000 0.000
V1 V 0.125 0.375 0.500
Bi1 Bi 0.166 0.666 0.000
```

--- Q ---
TaV2Bi2 | PBE | optimized geometry

The structure in CIF format:
```
data_TaV2Bi2
_symmetry_space_group_name_H-M 'I 4/m m m'
_symmetry_Int_Tables_number 139
_symmetry_space_group_name_Hall '-I 4 2'
_cell_length_a 3.551
_cell_length_b 3.551
_cell_length_c 16.313
_cell_angle_alpha 90.00
_cell_angle_beta 90.00
_cell_angle_gamma 90.00
loop_
_atom_site_label
_atom_site_type_symbol
_atom_site_fract_x
_atom_site_fract_y
_atom_site_fract_z
Ta1 Ta 0.000 0.000 0.000
V1 V 0.000 0.500 0.250
Bi1 Bi 0.000 0.000 0.393
```

Energy comparison, zero being the most stable, in meV per atom: P 0; Q 48.

--- P ---
Ta3BiW | PBE | optimized geometry

The structure in CIF format:
```
data_Ta3BiW
_symmetry_space_group_name_H-M 'P m -3 m'
_symmetry_Int_Tables_number 221
_symmetry_space_group_name_Hall '-P 4 2 3'
_cell_length_a 4.941
_cell_length_b 4.941
_cell_length_c 4.941
_cell_angle_alpha 90.00
_cell_angle_beta 90.00
_cell_angle_gamma 90.00
loop_
_atom_site_label
_atom_site_type_symbol
_atom_site_fract_x
_atom_site_fract_y
_atom_site_fract_z
Ta1 Ta 0.000 0.000 0.500
Bi1 Bi 0.500 0.500 0.500
W1 W 0.000 0.000 0.000
```

--- Q ---
Ta3BiW | PBE | optimized geometry

The structure in CIF format:
```
data_Ta3BiW
_symmetry_space_group_name_H-M 'P m -3 m'
_symmetry_Int_Tables_number 221
_symmetry_space_group_name_Hall '-P 4 2 3'
_cell_length_a 5.009
_cell_length_b 5.009
_cell_length_c 5.009
_cell_angle_alpha 90.00
_cell_angle_beta 90.00
_cell_angle_gamma 90.00
loop_
_atom_site_label
_atom_site_type_symbol
_atom_site_fract_x
_atom_site_fract_y
_atom_site_fract_z
Ta1 Ta 0.000 0.000 0.500
Bi1 Bi 0.000 0.000 0.000
W1 W 0.500 0.500 0.500
```

Energy comparison, zero being the most stable, in meV per atom: P 0; Q 1481.